(1)
DFT (PBE-GGA) results for an optimized crystal structure of Na2Li3NpH12.

Lattice parameters (Å, degrees): 6.3048 6.3048 15.0998 90.00 90.00 120.00
With the nearest neighbours (Å) after each atom.
Space group R-3m (No. 166, hexagonal axes)
Inequivalent atoms, fractional coordinates:
Na1 0.0000 0.0000 0.1163 (multiplicity 6)  3 H 2.18
Li1 0.0000 0.5000 0.0000 (multiplicity 9)  6 H 1.87-1.93
Np1 0.0000 0.0000 0.5000 (multiplicity 3)  12 H 2.01-2.08
H1 0.0182 0.5091 0.8721 (multiplicity 18)  1 Li 1.93, 2 H 1.98, 1 Np 2.01
H2 0.0888 0.5444 0.2725 (multiplicity 18)  2 Li 1.87, 2 H 1.98, 1 Np 2.08

- DFT total energy: -187.86 eV per cell
- Total magnetization: 0.00 Bohr magnetons per cell

***

(2)
DFT (PBE-GGA) results for an optimized crystal structure of NaLiSi2H4O7.

Lattice parameters (Å, degrees): 14.5354 8.4134 5.0997 90.00 97.30 90.00
With the nearest neighbours (Å) after each atom.
Space group C2/c (No. 15)
Inequivalent atoms, fractional coordinates:
Na1 0.0000 0.1398 0.2500 (multiplicity 4)  6 O 2.34-2.57
Li1 0.0000 0.4926 0.7500 (multiplicity 4)  4 O 2.00-2.02
Si1 0.1873 0.4028 0.5583 (multiplicity 8)  4 O 1.61-1.66
H1 0.0867 0.1982 0.7731 (multiplicity 8)  1 O 0.99
H2 0.1569 0.1027 0.9767 (multiplicity 8)  1 O 0.99
O1 0.0775 0.3712 0.5143 (multiplicity 8)  1 Si 1.61
O2 0.0909 0.1117 0.9052 (multiplicity 8)  2 H 0.99
O3 0.2220 0.4527 0.8707 (multiplicity 8)  2 Si 1.66
O4 0.2500 0.2500 0.5000 (multiplicity 4)  2 Si 1.62

- D(E_F): 0.000 states/eV/f.u.
- DFT total energy: -366.54 eV per cell
- Total magnetization: 0.00 Bohr magnetons per cell